# 1
Material: La2SmHo3As6
Method: DFT, PBE-GGA
State: optimized geometry

Unit cell a=9.4142 b=9.4142 c=8.4214 alpha=102.84 beta=102.84 gamma=25.88
With the nearest neighbours (Å) after each atom.
Element x y z (fractional)
La 0.1658 0.1658 0.3318  6 As 3.02-3.05
La 0.8342 0.8342 0.6682  6 As 3.02-3.05
Sm 0.5000 0.5000 0.0000  6 As 3.00-3.01
Ho 0.1667 0.1667 0.8341  6 As 2.92-2.96
Ho 0.5000 0.5000 0.5000  6 As 2.92-2.95
Ho 0.8333 0.8333 0.1659  6 As 2.92-2.96
As 0.0035 0.0035 0.7474  3 Ho 2.92-2.95, 2 Sm 3.01, 1 La 3.02
As 0.3322 0.3322 0.9261  3 Ho 2.92-2.96, 1 Sm 3.00, 2 La 3.03
As 0.3366 0.3366 0.4084  3 Ho 2.92-2.93, 3 La 3.05
As 0.6634 0.6634 0.5916  3 Ho 2.92-2.93, 3 La 3.05
As 0.6678 0.6678 0.0739  3 Ho 2.92-2.96, 1 Sm 3.00, 2 La 3.03
As 0.9965 0.9965 0.2526  3 Ho 2.92-2.95, 2 Sm 3.01, 1 La 3.02

Values from the calculation:
**Space group**: C2/m, No. 12
**Calculated total energy**: -6.215 eV per atom
**Calculated formation energy**: -1.531 eV/atom



# 2
Material: LaTb2HoAs4
Method: DFT, PBE-GGA
State: optimized geometry

Unit cell a=7.2551 b=4.1934 c=7.2583 alpha=90.00 beta=109.43 gamma=90.00
With the nearest neighbours (Å) after each atom.
Element x y z (fractional)
La 0.0000 0.0000 0.0000  6 As 3.01
Tb 0.0000 0.5000 0.5000  6 As 2.97
Tb 0.5000 0.0000 0.5000  6 As 2.91-2.92
Ho 0.5000 0.5000 0.0000  6 As 2.95-2.96
As 0.2557 0.0000 0.7476  3 Tb 2.91-2.97, 2 Ho 2.96, 1 La 3.01
As 0.2590 0.5000 0.2575  3 Tb 2.92-2.97, 1 Ho 2.95, 2 La 3.01
As 0.7410 0.5000 0.7425  3 Tb 2.92-2.97, 1 Ho 2.95, 2 La 3.01
As 0.7443 0.0000 0.2524  3 Tb 2.91-2.97, 2 Ho 2.96, 1 La 3.01

Values from the calculation:
**Space group**: P2/m, No. 10
**Calculated total energy**: -6.201 eV per atom
**Calculated formation energy**: -1.530 eV/atom



# 3
Material: La3TbHo2As6
Method: DFT, PBE-GGA
State: optimized geometry

Unit cell a=7.3562 b=7.3562 c=7.3464 alpha=99.60 beta=99.60 gamma=119.99
With the nearest neighbours (Å) after each atom.
Element x y z (fractional)
La 0.0000 0.0000 0.0000  6 As 3.05-3.06
La 0.3336 0.6664 0.0000  6 As 3.05-3.06
La 0.6664 0.3336 0.0000  6 As 3.05-3.06
Tb 0.5000 0.5000 0.5000  6 As 2.96
Ho 0.1668 0.8332 0.5000  6 As 2.94
Ho 0.8332 0.1668 0.5000  6 As 2.94
As 0.0866 0.4212 0.2637  2 Ho 2.94, 1 Tb 2.96, 3 La 3.05-3.06
As 0.2441 0.2441 0.7361  2 Ho 2.94, 1 Tb 2.96, 3 La 3.05-3.06
As 0.4212 0.0866 0.2637  2 Ho 2.94, 1 Tb 2.96, 3 La 3.05-3.06
As 0.5788 0.9134 0.7363  2 Ho 2.94, 1 Tb 2.96, 3 La 3.05-3.06
As 0.7559 0.7559 0.2639  2 Ho 2.94, 1 Tb 2.96, 3 La 3.05-3.06
As 0.9134 0.5788 0.7363  2 Ho 2.94, 1 Tb 2.96, 3 La 3.05-3.06

Values from the calculation:
**Space group**: C2/m, No. 12
**Calculated total energy**: -6.248 eV per atom
**Calculated formation energy**: -1.542 eV/atom



# 4
Material: LaTbHo2As4
Method: DFT, PBE-GGA
State: optimized geometry

Unit cell a=7.2370 b=4.1837 c=7.2409 alpha=90.00 beta=109.45 gamma=90.00
With the nearest neighbours (Å) after each atom.
Element x y z (fractional)
La 0.0000 0.0000 0.0000  6 As 3.01-3.02
Tb 0.0000 0.5000 0.5000  6 As 2.96-2.97
Ho 0.5000 0.0000 0.5000  6 As 2.90
Ho 0.5000 0.5000 0.0000  6 As 2.95
As 0.2565 0.0000 0.7468  3 Ho 2.90-2.95, 2 Tb 2.97, 1 La 3.01
As 0.2606 0.5000 0.2591  3 Ho 2.90-2.95, 1 Tb 2.96, 2 La 3.02
As 0.7394 0.5000 0.7409  3 Ho 2.90-2.95, 1 Tb 2.96, 2 La 3.02
As 0.7435 0.0000 0.2532  3 Ho 2.90-2.95, 2 Tb 2.97, 1 La 3.01

Values from the calculation:
**Space group**: P2/m, No. 10
**Calculated total energy**: -6.192 eV per atom
**Calculated formation energy**: -1.529 eV/atom



# 5
Material: La2HoTh3As6
Method: DFT, PBE-GGA
State: optimized geometry

Unit cell a=9.5462 b=9.5462 c=8.5298 alpha=102.94 beta=102.94 gamma=25.85
With the nearest neighbours (Å) after each atom.
Element x y z (fractional)
La 0.1656 0.1656 0.3317  6 As 3.04-3.07
La 0.8344 0.8344 0.6683  6 As 3.04-3.07
Ho 0.5000 0.5000 0.0000  6 As 2.97-2.99
Th 0.1676 0.1676 0.8346  6 As 2.98-3.05
Th 0.5000 0.5000 0.5000  6 As 2.98-3.05
Th 0.8324 0.8324 0.1654  6 As 2.98-3.05
As 0.0025 0.0025 0.7563  2 Ho 2.99, 3 Th 2.99-3.05, 1 La 3.04
As 0.3353 0.3353 0.4122  3 Th 2.98-2.99, 3 La 3.06-3.07
As 0.3361 0.3361 0.9231  1 Ho 2.97, 3 Th 2.98-3.05, 2 La 3.04
As 0.6639 0.6639 0.0769  1 Ho 2.97, 3 Th 2.98-3.05, 2 La 3.04
As 0.6647 0.6647 0.5878  3 Th 2.98-2.99, 3 La 3.06-3.07
As 0.9975 0.9975 0.2437  2 Ho 2.99, 3 Th 2.99-3.05, 1 La 3.04

Values from the calculation:
**Space group**: C2/m, No. 12
**Calculated total energy**: -6.865 eV per atom
**Calculated formation energy**: -1.482 eV/atom



# 6
Material: La2Ho3ThAs6
Method: DFT, PBE-GGA
State: optimized geometry

Unit cell a=9.4090 b=9.4090 c=8.4256 alpha=102.57 beta=102.57 gamma=25.93
With the nearest neighbours (Å) after each atom.
Element x y z (fractional)
La 0.1670 0.1670 0.3351  6 As 3.04-3.05
La 0.8330 0.8330 0.6649  6 As 3.04-3.05
Ho 0.1675 0.1675 0.8333  6 As 2.92-2.95
Ho 0.5000 0.5000 0.5000  6 As 2.92-2.96
Ho 0.8325 0.8325 0.1667  6 As 2.92-2.95
Th 0.5000 0.5000 0.0000  6 As 2.99-3.01
As 0.0034 0.0034 0.7478  3 Ho 2.93-2.96, 2 Th 3.01, 1 La 3.05
As 0.3326 0.3326 0.9261  3 Ho 2.93-2.95, 1 Th 2.99, 2 La 3.05
As 0.3370 0.3370 0.4077  3 Ho 2.92, 3 La 3.04
As 0.6630 0.6630 0.5923  3 Ho 2.92, 3 La 3.04
As 0.6674 0.6674 0.0739  3 Ho 2.93-2.95, 1 Th 2.99, 2 La 3.05
As 0.9966 0.9966 0.2522  3 Ho 2.93-2.96, 2 Th 3.01, 1 La 3.05

Values from the calculation:
**Space group**: C2/m, No. 12
**Calculated total energy**: -6.438 eV per atom
**Calculated formation energy**: -1.529 eV/atom



# 7
Material: La3Ho2ThAs6
Method: DFT, PBE-GGA
State: optimized geometry

Unit cell a=7.3730 b=7.3730 c=7.4090 alpha=99.56 beta=99.56 gamma=119.97
With the nearest neighbours (Å) after each atom.
Element x y z (fractional)
La 0.0000 0.0000 0.0000  6 As 3.05-3.08
La 0.3337 0.6663 0.0000  6 As 3.05-3.08
La 0.6663 0.3337 0.0000  6 As 3.05-3.08
Ho 0.1667 0.8333 0.5000  6 As 2.95-2.96
Ho 0.8333 0.1667 0.5000  6 As 2.95-2.96
Th 0.5000 0.5000 0.5000  6 As 2.98
As 0.0844 0.4209 0.2625  2 Ho 2.96, 1 Th 2.98, 3 La 3.05-3.08
As 0.2424 0.2424 0.7366  2 Ho 2.95, 1 Th 2.98, 3 La 3.05-3.08
As 0.4209 0.0844 0.2625  2 Ho 2.96, 1 Th 2.98, 3 La 3.05-3.08
As 0.5791 0.9156 0.7375  2 Ho 2.96, 1 Th 2.98, 3 La 3.05-3.08
As 0.7576 0.7576 0.2634  2 Ho 2.95, 1 Th 2.98, 3 La 3.05-3.08
As 0.9156 0.5791 0.7375  2 Ho 2.96, 1 Th 2.98, 3 La 3.05-3.08

Values from the calculation:
**Space group**: C2/m, No. 12
**Calculated total energy**: -6.478 eV per atom
**Calculated formation energy**: -1.540 eV/atom



# 8
Material: LaHo2Th3As6
Method: DFT, PBE-GGA
State: optimized geometry

Unit cell a=7.3288 b=7.3288 c=7.2901 alpha=99.68 beta=99.68 gamma=119.93
With the nearest neighbours (Å) after each atom.
Element x y z (fractional)
La 0.0000 0.0000 0.0000  6 As 3.02-3.03
Ho 0.3327 0.6673 0.0000  6 As 2.94-2.95
Ho 0.6673 0.3327 0.0000  6 As 2.94-2.95
Th 0.1644 0.8356 0.5000  6 As 2.97-3.02
Th 0.5000 0.5000 0.5000  6 As 2.96-3.02
Th 0.8356 0.1644 0.5000  6 As 2.97-3.02
As 0.0825 0.4242 0.2475  2 Ho 2.95, 3 Th 2.97-3.02, 1 La 3.03
As 0.2605 0.2605 0.7555  2 Ho 2.94, 3 Th 2.96-3.01, 1 La 3.02
As 0.4242 0.0825 0.2475  2 Ho 2.95, 3 Th 2.97-3.02, 1 La 3.03
As 0.5758 0.9175 0.7525  2 Ho 2.95, 3 Th 2.97-3.02, 1 La 3.03
As 0.7395 0.7395 0.2445  2 Ho 2.94, 3 Th 2.96-3.01, 1 La 3.02
As 0.9175 0.5758 0.7525  2 Ho 2.95, 3 Th 2.97-3.02, 1 La 3.03

Values from the calculation:
**Space group**: C2/m, No. 12
**Calculated total energy**: -6.821 eV per atom
**Calculated formation energy**: -1.468 eV/atom



# 9
Material: LaHo2TmAs4
Method: DFT, PBE-GGA
State: optimized geometry

Unit cell a=7.2064 b=4.1662 c=7.2108 alpha=90.00 beta=109.43 gamma=90.00
With the nearest neighbours (Å) after each atom.
Element x y z (fractional)
La 0.0000 0.0000 0.0000  6 As 3.00
Ho 0.0000 0.5000 0.5000  6 As 2.95-2.96
Ho 0.5000 0.0000 0.5000  6 As 2.89
Tm 0.5000 0.5000 0.0000  6 As 2.93-2.94
As 0.2565 0.0000 0.7468  3 Ho 2.89-2.96, 2 Tm 2.94, 1 La 3.00
As 0.2607 0.5000 0.2592  3 Ho 2.89-2.95, 1 Tm 2.93, 2 La 3.00
As 0.7393 0.5000 0.7408  3 Ho 2.89-2.95, 1 Tm 2.93, 2 La 3.00
As 0.7435 0.0000 0.2532  3 Ho 2.89-2.96, 2 Tm 2.94, 1 La 3.00

Values from the calculation:
**Space group**: P2/m, No. 10
**Calculated total energy**: -6.156 eV per atom
**Calculated formation energy**: -1.512 eV/atom



# 10
Material: La3HoTm2As6
Method: DFT, PBE-GGA
State: optimized geometry

Unit cell a=7.3270 b=7.3270 c=7.3098 alpha=99.61 beta=99.61 gamma=119.99
With the nearest neighbours (Å) after each atom.
Element x y z (fractional)
La 0.0000 0.0000 0.0000  6 As 3.05-3.06
La 0.3335 0.6665 0.0000  6 As 3.05-3.06
La 0.6665 0.3335 0.0000  6 As 3.05-3.06
Ho 0.5000 0.5000 0.5000  6 As 2.93
Tm 0.1667 0.8333 0.5000  6 As 2.92
Tm 0.8333 0.1667 0.5000  6 As 2.92
As 0.0875 0.4221 0.2661  2 Tm 2.92, 1 Ho 2.93, 3 La 3.05-3.06
As 0.2433 0.2433 0.7338  2 Tm 2.92, 1 Ho 2.93, 3 La 3.05-3.06
As 0.4221 0.0875 0.2661  2 Tm 2.92, 1 Ho 2.93, 3 La 3.05-3.06
As 0.5779 0.9125 0.7339  2 Tm 2.92, 1 Ho 2.93, 3 La 3.05-3.06
As 0.7567 0.7567 0.2662  2 Tm 2.92, 1 Ho 2.93, 3 La 3.05-3.06
As 0.9125 0.5779 0.7339  2 Tm 2.92, 1 Ho 2.93, 3 La 3.05-3.06

Values from the calculation:
**Space group**: C2/m, No. 12
**Calculated total energy**: -6.212 eV per atom
**Calculated formation energy**: -1.529 eV/atom



# 11
Material: LaHoTm2As4
Method: DFT, PBE-GGA
State: optimized geometry

Unit cell a=7.1887 b=4.1574 c=7.1939 alpha=90.00 beta=109.45 gamma=90.00
With the nearest neighbours (Å) after each atom.
Element x y z (fractional)
La 0.0000 0.0000 0.0000  6 As 3.00-3.01
Ho 0.0000 0.5000 0.5000  6 As 2.95
Tm 0.5000 0.0000 0.5000  6 As 2.87
Tm 0.5000 0.5000 0.0000  6 As 2.93
As 0.2572 0.0000 0.7460  3 Tm 2.87-2.93, 2 Ho 2.95, 1 La 3.00
As 0.2623 0.5000 0.2608  3 Tm 2.87-2.93, 1 Ho 2.95, 2 La 3.01
As 0.7377 0.5000 0.7392  3 Tm 2.87-2.93, 1 Ho 2.95, 2 La 3.01
As 0.7428 0.0000 0.2540  3 Tm 2.87-2.93, 2 Ho 2.95, 1 La 3.00

Values from the calculation:
**Space group**: P2/m, No. 10
**Calculated total energy**: -6.139 eV per atom
**Calculated formation energy**: -1.508 eV/atom



# 12
Material: LaY2HoAs4
Method: DFT, PBE-GGA
State: optimized geometry

Unit cell a=7.2434 b=4.1866 c=7.2441 alpha=90.00 beta=109.44 gamma=90.00
With the nearest neighbours (Å) after each atom.
Element x y z (fractional)
La 0.0000 0.0000 0.0000  6 As 3.01
Y 0.0000 0.5000 0.5000  6 As 2.96-2.97
Y 0.5000 0.0000 0.5000  6 As 2.91
Ho 0.5000 0.5000 0.0000  6 As 2.95
As 0.2555 0.0000 0.7471  3 Y 2.91-2.97, 2 Ho 2.95, 1 La 3.01
As 0.2592 0.5000 0.2580  3 Y 2.91-2.96, 1 Ho 2.95, 2 La 3.01
As 0.7408 0.5000 0.7420  3 Y 2.91-2.96, 1 Ho 2.95, 2 La 3.01
As 0.7445 0.0000 0.2529  3 Y 2.91-2.97, 2 Ho 2.95, 1 La 3.01

Values from the calculation:
**Space group**: P2/m, No. 10
**Calculated total energy**: -6.668 eV per atom
**Calculated formation energy**: -1.539 eV/atom



- Among the records above, which one has the lowest calculated total energy?
  La2HoTh3As6



- The highest calculated formation energy belongs to which entry?
  LaHo2Th3As6



- The highest calculated formation energy belongs to which entry?
  LaHo2Th3As6